(1)
GGA-PBE Nb3IrCl, relaxed; E above lowest polymorph = 1.84 eV/f.u.; ΔE_f (raw) = 24.00 kcal/mol of atoms; space-group type = No. 221
1.0
-4.405 1.928 -1.124
0.096 -2.321 -4.358
-2.230 -3.909 2.033
Cl Nb Ir
1 3 1
Direct
0.500 0.500 0.500
0.500 0.000 0.000
0.000 0.500 0.000
0.000 0.000 0.500
0.000 0.000 0.000


(2)
GGA-PBE NbIrCl3, relaxed; E above lowest polymorph = 0.00 eV/f.u.; ΔE_f (raw) = 16.22 kcal/mol of atoms; space-group type = No. 221
1.0
-1.954 -0.998 -4.286
-4.093 -1.309 2.171
-1.615 4.524 -0.317
Cl Ir Nb
3 1 1
Direct
0.000 0.500 0.000
0.000 0.000 0.500
0.500 0.000 0.000
0.000 0.000 0.000
0.500 0.500 0.500


(3)
GGA-PBE NbIrClO2, relaxed; ΔE_f (raw) = 1.45 kcal/mol of atoms; space-group type = No. 123
1.0
3.713 0.000 0.000
0.000 7.652 0.000
0.000 0.000 3.713
Cl O Nb Ir
1 2 1 1
Direct
0.000 0.500 0.000
0.000 0.000 0.500
0.500 0.000 0.000
0.500 0.500 0.500
0.000 0.000 0.000


(4)
GGA-PBE NbPIrCl2, relaxed; E above lowest polymorph = 0.07 eV/f.u.; ΔE_f (raw) = 18.29 kcal/mol of atoms; space-group type = No. 123
1.0
4.667 0.000 0.000
0.000 4.667 0.000
0.000 0.000 5.136
Cl P Nb Ir
2 1 1 1
Direct
0.000 0.500 0.000
0.500 0.000 0.000
0.000 0.000 0.500
0.000 0.000 0.000
0.500 0.500 0.500


(5)
GGA-PBE NbPIrCl2, relaxed; E above lowest polymorph = 0.00 eV/f.u.; ΔE_f (raw) = 17.98 kcal/mol of atoms; space-group type = No. 123
1.0
-0.314 -3.861 3.042
2.576 -2.726 -3.193
3.818 1.265 2.000
Ir Cl Nb P
1 2 1 1
Direct
0.000 0.000 0.000
0.500 0.000 0.000
0.000 0.500 0.000
0.500 0.500 0.500
0.000 0.000 0.500


(6)
GGA-PBE Nb2IrRuCl, relaxed; ΔE_f (raw) = 35.17 kcal/mol of atoms; space-group type = No. 123
1.0
4.926 0.000 0.000
0.000 4.462 0.000
0.000 0.000 4.926
Nb Ir Ru Cl
2 1 1 1
Direct
0.000 0.000 0.500
0.500 0.000 0.000
0.000 0.000 0.000
0.500 0.500 0.500
0.000 0.500 0.000


(7)
GGA-PBE NbIrSCl2, relaxed; E above lowest polymorph = 0.25 eV/f.u.; ΔE_f (raw) = 15.51 kcal/mol of atoms; space-group type = No. 123
1.0
4.708 0.000 0.000
0.000 4.708 0.000
0.000 0.000 4.775
S Ir Cl Nb
1 1 2 1
Direct
0.000 0.000 0.500
0.000 0.000 0.000
0.500 0.000 0.000
0.000 0.500 0.000
0.500 0.500 0.500


(8)
GGA-PBE NbIrS2Cl, relaxed; E above lowest polymorph = 0.00 eV/f.u.; ΔE_f (raw) = 14.71 kcal/mol of atoms; space-group type = No. 123
1.0
-0.734 -2.993 3.531
4.507 0.354 1.237
-1.038 3.524 2.773
Nb Cl S Ir
1 1 2 1
Direct
0.500 0.500 0.500
0.000 0.000 0.500
0.000 0.500 0.000
0.500 0.000 0.000
0.000 0.000 0.000


(9)
GGA-PBE NbIrS2Cl, relaxed; E above lowest polymorph = 0.09 eV/f.u.; ΔE_f (raw) = 15.11 kcal/mol of atoms; space-group type = No. 123
1.0
4.812 0.000 0.000
0.000 4.812 0.000
0.000 0.000 4.739
Ir S Cl Nb
1 2 1 1
Direct
0.500 0.500 0.500
0.500 0.000 0.000
0.000 0.500 0.000
0.000 0.000 0.500
0.000 0.000 0.000


(10)
GGA-PBE NbIrSCl2, relaxed; E above lowest polymorph = 0.00 eV/f.u.; ΔE_f (raw) = 14.36 kcal/mol of atoms; space-group type = No. 123
1.0
-2.579 0.620 -4.041
0.807 -4.606 -1.222
-4.019 -1.331 2.360
Nb S Ir Cl
1 1 1 2
Direct
0.000 0.000 0.000
0.000 0.000 0.500
0.500 0.500 0.500
0.000 0.500 0.000
0.500 0.000 0.000


(11)
GGA-PBE NbIr2SeCl, relaxed; ΔE_f (raw) = 33.99 kcal/mol of atoms; space-group type = No. 123
1.0
4.365 0.000 0.000
0.000 4.951 0.000
0.000 0.000 4.365
Ir Se Cl Nb
2 1 1 1
Direct
0.500 0.000 0.000
0.000 0.000 0.500
0.000 0.500 0.000
0.000 0.000 0.000
0.500 0.500 0.500


(12)
GGA-PBE TiNbIr2Cl, relaxed; ΔE_f (raw) = 31.99 kcal/mol of atoms; space-group type = No. 123
1.0
-0.816 4.244 1.978
-3.729 0.899 -3.469
-3.191 -1.974 2.918
Ir Nb Ti Cl
2 1 1 1
Direct
0.000 0.000 0.500
0.500 0.000 0.000
0.000 0.000 0.000
0.000 0.500 0.000
0.500 0.500 0.500


(13)
GGA-PBE Nd6Ir3Cl2, relaxed; ΔE_f (raw) = -22.42 kcal/mol of atoms; space-group type = No. 12
1.0
-6.550 2.529 -1.729
-2.355 -0.431 -6.832
-5.058 -5.637 0.821
Ir Nd Cl
3 6 2
Direct
0.670 0.661 0.000
0.000 0.000 0.000
0.330 0.339 0.000
0.596 0.332 0.211
0.734 0.000 0.794
0.266 0.000 0.206
0.072 0.332 0.789
0.404 0.668 0.789
0.928 0.668 0.211
0.166 0.667 0.500
0.834 0.333 0.500


(14)
GGA-PBE Nd2IrCl, relaxed; E above lowest polymorph = 0.12 eV/f.u.; ΔE_f (raw) = -26.69 kcal/mol of atoms; space-group type = No. 160
1.0
-0.439 2.786 -3.015
-2.972 -0.470 -2.827
-5.982 4.796 2.476
Cl Ir Nd
1 1 2
Direct
0.496 0.496 0.511
0.668 0.668 0.997
0.068 0.068 0.797
0.268 0.268 0.195


(15)
GGA-PBE Nd2IrCl, relaxed; E above lowest polymorph = 0.69 eV/f.u.; ΔE_f (raw) = -23.44 kcal/mol of atoms; space-group type = No. 123
1.0
3.457 0.000 0.000
0.000 3.457 0.000
0.000 0.000 8.157
Nd Cl Ir
2 1 1
Direct
0.000 0.000 0.217
0.000 0.000 0.783
0.500 0.500 0.500
0.500 0.500 0.000


(16)
GGA-PBE Nd3IrCl3, relaxed; ΔE_f (raw) = -36.80 kcal/mol of atoms; space-group type = No. 214
1.0
9.684 0.000 -3.424
-4.842 8.387 -3.424
0.000 0.000 10.272
Ir Nd Cl
4 12 12
Direct
0.500 0.250 0.500
0.750 0.250 0.250
0.750 0.500 0.000
0.000 0.000 0.250
0.762 0.750 0.238
0.250 0.012 0.488
0.762 0.012 0.024
0.524 0.262 0.012
0.738 0.262 0.750
0.512 0.488 0.750
0.988 0.238 0.476
0.512 0.024 0.262
0.976 0.488 0.238
0.738 0.476 0.488
0.250 0.238 0.262
0.988 0.750 0.012
0.251 0.250 0.749
0.249 0.499 0.499
0.501 0.001 0.751
0.750 0.749 0.751
0.251 0.001 0.001
0.249 0.751 0.250
0.501 0.751 0.001
0.999 0.250 0.001
0.999 0.749 0.499
0.750 0.001 0.499
0.501 0.499 0.250
0.999 0.499 0.749


(17)
GGA-PBE Nd4Ir2Cl3, relaxed; ΔE_f (raw) = -30.89 kcal/mol of atoms; space-group type = No. 12
1.0
4.092 0.000 0.005
-2.046 3.543 -0.005
-0.001 0.001 18.122
Nd Ir Cl
4 2 3
Direct
0.666 0.334 0.125
0.999 0.001 0.304
0.334 0.666 0.875
0.001 0.999 0.696
0.667 0.333 0.791
0.333 0.667 0.209
0.665 0.335 0.400
0.335 0.665 0.600
0.000 0.000 0.000


(18)
GGA-PBE Nd2IrCl2, relaxed; ΔE_f (raw) = -33.66 kcal/mol of atoms; space-group type = No. 12
1.0
-2.479 -0.758 3.162
1.037 -2.814 2.783
4.520 6.694 7.792
Nd Cl Ir
2 2 1
Direct
0.722 0.207 0.348
0.278 0.793 0.652
0.552 0.084 0.811
0.448 0.916 0.189
0.000 0.500 0.500


(19)
GGA-PBE Nd2IrCl, relaxed; E above lowest polymorph = 0.00 eV/f.u.; ΔE_f (raw) = -27.41 kcal/mol of atoms; space-group type = No. 166
1.0
-3.524 0.856 1.997
-0.422 -1.028 3.988
1.461 6.651 4.018
Nd Ir Cl
2 1 1
Direct
0.266 0.266 0.203
0.734 0.734 0.797
0.000 0.000 0.000
0.500 0.500 0.500


(20)
GGA-PBE Nd6Ni2IrCl3, relaxed; ΔE_f (raw) = -23.21 kcal/mol of atoms; space-group type = No. 12
1.0
7.056 -0.002 0.002
-3.528 6.111 0.002
-1.175 -2.034 7.507
Nd Cl Ir Ni
6 3 1 2
Direct
0.933 0.597 0.797
0.597 0.933 0.797
0.403 0.067 0.203
0.731 0.731 0.203
0.067 0.403 0.203
0.269 0.269 0.797
0.500 0.500 0.500
0.832 0.168 0.500
0.168 0.832 0.500
0.000 0.000 0.000
0.333 0.667 0.000
0.667 0.333 0.000